Entry 1:
Density functional theory data (GGA-PBE) for a geometry-optimized RbBaP2O6 structure.

## Properties
V ... 18.3 Å³ per atom
VASP energy ... -130.8 eV/cell
Formation energy (no corrections) ... -2195 meV per atom
M_tot ... 0.042 μB per atom

a b c (Å): 7.701 7.701 6.376
angles (deg): 100.40 100.40 91.41
Each line ends with the local moment (μB).
Sites, in units of the cell vectors:
Rb 0.160 0.840 0.250  0.00
Rb 0.840 0.160 0.750  0.00
Ba 0.628 0.372 0.250  0.00
Ba 0.372 0.628 0.750  0.00
P 0.303 0.156 0.751  0.07
P 0.844 0.697 0.749  0.07
P 0.697 0.844 0.249  0.07
P 0.156 0.303 0.251  0.07
O 0.963 0.347 0.200  0.02
O 0.653 0.037 0.300  0.02
O 0.037 0.653 0.800  0.02
O 0.347 0.963 0.700  0.02
O 0.215 0.163 0.072  0.01
O 0.837 0.785 0.428  0.01
O 0.785 0.837 0.928  0.01
O 0.163 0.215 0.572  0.01
O 0.290 0.464 0.331  0.02
O 0.536 0.710 0.169  0.02
O 0.710 0.536 0.669  0.02
O 0.464 0.290 0.831  0.02

***

Entry 2:
Density functional theory data (GGA-PBE) for a geometry-optimized BaP2RhO8 structure.

## Properties
V ... 14.7 Å³ per atom
VASP energy ... -82.8 eV/cell
Formation energy (no corrections) ... -1921 meV per atom
M_tot ... 0.090 μB per atom

a b c (Å): 5.105 5.105 8.329
angles (deg): 72.15 72.15 60.00
Each line ends with the local moment (μB).
Sites, in units of the cell vectors:
Ba 0.000 0.000 0.000  0.00
P 0.759 0.759 0.724  0.00
P 0.241 0.241 0.276  0.00
Rh 0.500 0.500 0.500  0.59
O 0.693 0.693 0.921  0.02
O 0.307 0.307 0.079  0.02
O 0.442 0.329 0.334  0.06
O 0.671 0.558 0.666  0.06
O 0.106 0.671 0.666  0.06
O 0.329 0.894 0.334  0.06
O 0.894 0.442 0.334  0.06
O 0.558 0.106 0.666  0.06

***

Entry 3:
Density functional theory data (GGA-PBE) for a geometry-optimized BaP2RhO structure.

## Properties
V ... 20.7 Å³ per atom
VASP energy ... -27.1 eV/cell
Formation energy (no corrections) ... -402 meV per atom
M_tot ... 0.000 μB per atom

a b c (Å): 4.466 4.466 5.180
angles (deg): 90.00 90.00 90.00
Sites, in units of the cell vectors:
P 0.000 0.500 0.000
P 0.500 0.000 0.000
Rh 0.000 0.000 0.000
Ba 0.500 0.500 0.500
O 0.000 0.000 0.500

***

Entry 4:
Density functional theory data (GGA-PBE) for a geometry-optimized BaP2RhO structure.

## Properties
V ... 25.5 Å³ per atom
VASP energy ... -18.0 eV/cell
Formation energy (no corrections) ... 1408 meV per atom
M_tot ... 0.100 μB per atom

a b c (Å): 5.492 5.492 4.223
angles (deg): 90.00 90.00 90.00
Each line ends with the local moment (μB).
Sites, in units of the cell vectors:
P 0.000 0.500 0.000  -0.08
P 0.500 0.000 0.000  -0.08
Rh 0.500 0.500 0.500  0.80
Ba 0.000 0.000 0.000  -0.02
O 0.000 0.000 0.500  0.01

***

Entry 5:
Density functional theory data (GGA-PBE) for a geometry-optimized BaPRuO2 structure.

## Properties
V ... 25.5 Å³ per atom
VASP energy ... -22.4 eV/cell
Formation energy (no corrections) ... 820 meV per atom
M_tot ... 0.774 μB per atom

a b c (Å): 4.288 4.288 6.924
angles (deg): 90.00 90.00 90.00
Each line ends with the local moment (μB).
Sites, in units of the cell vectors:
Ru 0.500 0.500 0.500  2.72
Ba 0.000 0.000 0.000  0.03
O 0.000 0.500 0.000  0.13
O 0.500 0.000 0.000  0.13
P 0.000 0.000 0.500  0.22

***

Entry 6:
Density functional theory data (GGA-PBE) for a geometry-optimized BaPRuO2 structure.

## Properties
V ... 16.5 Å³ per atom
VASP energy ... -30.6 eV/cell
Formation energy (no corrections) ... -821 meV per atom
M_tot ... 0.244 μB per atom

a b c (Å): 4.294 4.294 4.486
angles (deg): 90.00 90.00 90.00
Each line ends with the local moment (μB).
Sites, in units of the cell vectors:
Ru 0.000 0.000 0.000  0.80
Ba 0.500 0.500 0.500  0.01
O 0.000 0.500 0.000  0.15
O 0.500 0.000 0.000  0.15
P 0.000 0.000 0.500  -0.01

***

Entry 7:
Density functional theory data (GGA-PBE) for a geometry-optimized BaP2RuO8 structure.

## Properties
V ... 15.0 Å³ per atom
VASP energy ... -85.7 eV/cell
Formation energy (no corrections) ... -1999 meV per atom
M_tot ... 0.168 μB per atom

a b c (Å): 5.190 5.190 8.290
angles (deg): 71.76 71.76 60.00
Each line ends with the local moment (μB).
Sites, in units of the cell vectors:
Ba 0.000 0.000 0.000  0.00
P 0.759 0.759 0.722  -0.01
P 0.241 0.241 0.278  -0.01
Ru 0.500 0.500 0.500  1.35
O 0.693 0.693 0.921  0.01
O 0.307 0.307 0.079  0.01
O 0.385 0.382 0.338  0.08
O 0.618 0.615 0.662  0.08
O 0.106 0.618 0.662  0.08
O 0.382 0.894 0.338  0.08
O 0.894 0.385 0.338  0.08
O 0.615 0.106 0.662  0.08

***

Entry 8:
Density functional theory data (GGA-PBE) for a geometry-optimized BaPRu2O structure.

## Properties
V ... 18.4 Å³ per atom
VASP energy ... -29.8 eV/cell
Formation energy (no corrections) ... 211 meV per atom
M_tot ... 0.322 μB per atom

a b c (Å): 4.193 5.243 4.193
angles (deg): 90.00 90.00 90.00
Each line ends with the local moment (μB).
Sites, in units of the cell vectors:
Ru 0.000 0.000 0.500  0.64
Ru 0.500 0.000 0.000  0.90
Ba 0.000 0.500 0.000  -0.02
O 0.000 0.000 0.000  0.10
P 0.500 0.500 0.500  -0.03

***

Entry 9:
Density functional theory data (GGA-PBE) for a geometry-optimized BaPS2O structure.

## Properties
V ... 20.8 Å³ per atom
VASP energy ... -21.8 eV/cell
Formation energy (no corrections) ... -253 meV per atom
M_tot ... 0.128 μB per atom

a b c (Å): 5.290 5.290 3.711
angles (deg): 90.00 90.00 90.00
Each line ends with the local moment (μB).
Sites, in units of the cell vectors:
P 0.000 0.000 0.500  0.01
S 0.000 0.500 0.000  0.10
S 0.500 0.000 0.000  0.10
Ba 0.500 0.500 0.500  0.00
O 0.000 0.000 0.000  0.24

***

Entry 10:
Density functional theory data (GGA-PBE) for a geometry-optimized BaP2SO structure.

## Properties
V ... 23.0 Å³ per atom
VASP energy ... -22.7 eV/cell
Formation energy (no corrections) ... -170 meV per atom
M_tot ... 0.000 μB per atom

a b c (Å): 4.131 4.131 6.748
angles (deg): 90.00 90.00 90.00
Sites, in units of the cell vectors:
P 0.000 0.500 0.000
P 0.500 0.000 0.000
S 0.000 0.000 0.500
Ba 0.500 0.500 0.500
O 0.000 0.000 0.000

***

Entry 11:
Density functional theory data (GGA-PBE) for a geometry-optimized BaPSO2 structure.

## Properties
V ... 25.4 Å³ per atom
VASP energy ... -19.7 eV/cell
Formation energy (no corrections) ... 343 meV per atom
M_tot ... 0.248 μB per atom

a b c (Å): 4.308 6.850 4.308
angles (deg): 90.00 90.00 90.00
Each line ends with the local moment (μB).
Sites, in units of the cell vectors:
P 0.500 0.500 0.500  0.60
S 0.000 0.500 0.000  -0.12
Ba 0.000 0.000 0.000  0.00
O 0.000 0.000 0.500  0.05
O 0.500 0.000 0.000  0.04

***

Entry 12:
Density functional theory data (GGA-PBE) for a geometry-optimized BaPS2O structure.

## Properties
V ... 50.1 Å³ per atom
VASP energy ... -13.5 eV/cell
Formation energy (no corrections) ... 1416 meV per atom
M_tot ... 0.060 μB per atom

a b c (Å): 6.217 6.481 6.217
angles (deg): 90.00 90.00 90.00
Each line ends with the local moment (μB).
Sites, in units of the cell vectors:
P 0.000 0.500 0.000  -0.94
S 0.000 0.000 0.500  0.82
S 0.500 0.000 0.000  0.72
Ba 0.000 0.000 0.000  -0.05
O 0.500 0.500 0.500  -0.03

***

Entry 13:
Density functional theory data (GGA-PBE) for a geometry-optimized Ba10P6SO24 structure.

## Properties
V ... 17.7 Å³ per atom
VASP energy ... -291.2 eV/cell
Formation energy (no corrections) ... -2838 meV per atom
M_tot ... 0.003 μB per atom

a b c (Å): 10.394 10.394 7.758
angles (deg): 90.00 90.00 120.00
Each line ends with the local moment (μB).
Sites, in units of the cell vectors:
Ba 0.986 0.741 0.739  0.00
Ba 0.259 0.244 0.739  0.00
Ba 0.756 0.014 0.739  0.00
Ba 0.741 0.756 0.261  0.00
Ba 0.014 0.259 0.261  0.00
Ba 0.244 0.986 0.261  0.00
Ba 0.667 0.333 0.480  0.00
Ba 0.333 0.667 0.520  0.00
Ba 0.667 0.333 0.981  0.00
Ba 0.333 0.667 0.019  0.00
P 0.369 0.970 0.752  0.00
P 0.601 0.631 0.752  0.00
P 0.970 0.601 0.248  0.00
P 0.030 0.399 0.752  0.00
P 0.399 0.369 0.248  0.00
P 0.631 0.030 0.248  0.00
S 0.000 0.000 0.500  0.06
O 0.477 0.141 0.737  0.00
O 0.095 0.376 0.581  0.00
O 0.281 0.905 0.581  0.00
O 0.624 0.719 0.581  0.00
O 0.905 0.624 0.419  0.00
O 0.719 0.095 0.419  0.00
O 0.376 0.281 0.419  0.00
O 0.062 0.317 0.899  0.00
O 0.254 0.938 0.899  0.00
O 0.683 0.746 0.899  0.00
O 0.317 0.254 0.101  0.00
O 0.111 0.570 0.787  0.00
O 0.459 0.889 0.787  0.00
O 0.430 0.541 0.787  0.00
O 0.889 0.430 0.213  0.00
O 0.541 0.111 0.213  0.00
O 0.336 0.477 0.263  0.00
O 0.523 0.859 0.263  0.00
O 0.141 0.664 0.263  0.00
O 0.664 0.523 0.737  0.00
O 0.746 0.062 0.101  0.00
O 0.859 0.336 0.737  0.00
O 0.570 0.459 0.213  0.00
O 0.938 0.683 0.101  0.00

***

Entry 14:
Density functional theory data (GGA-PBE) for a geometry-optimized BaPSO2 structure.

## Properties
V ... 16.5 Å³ per atom
VASP energy ... -23.7 eV/cell
Formation energy (no corrections) ... -461 meV per atom
M_tot ... 0.000 μB per atom

a b c (Å): 4.341 4.341 4.382
angles (deg): 90.00 90.00 90.00
Sites, in units of the cell vectors:
P 0.000 0.000 0.500
S 0.000 0.000 0.000
Ba 0.500 0.500 0.500
O 0.000 0.500 0.000
O 0.500 0.000 0.000

***

Entry 15:
Density functional theory data (GGA-PBE) for a geometry-optimized BaP2SO structure.

## Properties
V ... 52.3 Å³ per atom
VASP energy ... -14.3 eV/cell
Formation energy (no corrections) ... 1496 meV per atom
M_tot ... 0.433 μB per atom

a b c (Å): 6.561 6.561 6.074
angles (deg): 90.00 90.00 90.00
Each line ends with the local moment (μB).
Sites, in units of the cell vectors:
P 0.000 0.500 0.000  0.97
P 0.500 0.000 0.000  0.97
S 0.000 0.000 0.500  -0.53
Ba 0.000 0.000 0.000  0.06
O 0.500 0.500 0.500  -1.33

***

Entry 16:
Density functional theory data (GGA-PBE) for a geometry-optimized Ba5P2SO structure.

## Properties
V ... 32.7 Å³ per atom
VASP energy ... -86.6 eV/cell
Formation energy (no corrections) ... -1532 meV per atom
M_tot ... 0.000 μB per atom

a b c (Å): 4.627 9.878 13.249
angles (deg): 90.00 90.00 103.55
Sites, in units of the cell vectors:
Ba 0.361 0.722 0.003
Ba 0.670 0.340 0.860
Ba 0.493 0.985 0.779
Ba 0.289 0.578 0.681
Ba 0.962 0.925 0.535
Ba 0.639 0.278 0.503
Ba 0.330 0.660 0.360
Ba 0.507 0.015 0.279
Ba 0.711 0.422 0.181
Ba 0.038 0.075 0.035
P 0.872 0.743 0.812
P 0.112 0.225 0.687
P 0.128 0.257 0.312
P 0.888 0.775 0.187
S 0.798 0.596 0.514
S 0.202 0.404 0.014
O 0.543 0.087 0.952
O 0.457 0.913 0.452

***

Entry 17:
Density functional theory data (GGA-PBE) for a geometry-optimized BaP2SO structure.

## Properties
V ... 20.0 Å³ per atom
VASP energy ... -22.1 eV/cell
Formation energy (no corrections) ... -54 meV per atom
M_tot ... 0.000 μB per atom

a b c (Å): 4.584 4.584 4.748
angles (deg): 90.00 90.00 90.00
Sites, in units of the cell vectors:
P 0.000 0.500 0.000
P 0.500 0.000 0.000
S 0.000 0.000 0.000
Ba 0.500 0.500 0.500
O 0.000 0.000 0.500

***

Entry 18:
Density functional theory data (GGA-PBE) for a geometry-optimized BaP2SO structure.

## Properties
V ... 35.0 Å³ per atom
VASP energy ... -16.2 eV/cell
Formation energy (no corrections) ... 1122 meV per atom
M_tot ... 0.650 μB per atom

a b c (Å): 6.276 6.276 4.445
angles (deg): 90.00 90.00 90.00
Each line ends with the local moment (μB).
Sites, in units of the cell vectors:
P 0.000 0.500 0.000  0.89
P 0.500 0.000 0.000  0.89
S 0.500 0.500 0.500  -0.66
Ba 0.000 0.000 0.000  0.08
O 0.000 0.000 0.500  0.10

***

Entry 19:
Density functional theory data (GGA-PBE) for a geometry-optimized BaSbP2O structure.

## Properties
V ... 29.1 Å³ per atom
VASP energy ... -18.0 eV/cell
Formation energy (no corrections) ... 774 meV per atom
M_tot ... 0.263 μB per atom

a b c (Å): 5.792 5.792 4.343
angles (deg): 90.00 90.00 90.00
Each line ends with the local moment (μB).
Sites, in units of the cell vectors:
Sb 0.500 0.500 0.500  -0.25
Ba 0.000 0.000 0.000  0.08
O 0.000 0.000 0.500  0.03
P 0.000 0.500 0.000  0.41
P 0.500 0.000 0.000  0.41